(1)
Computed, not measured: crystalline HfCdHg at its relaxed geometry at the PBE level of DFT.

```
data_HfCdHg
_chemical_formula_sum 'Hf2 Cd2 Hg2'
_cell_length_a 3.3540
_cell_length_b 3.3540
_cell_length_c 11.1234
_cell_angle_alpha 90.00
_cell_angle_beta 90.00
_cell_angle_gamma 90.00
_symmetry_space_group_name_H-M 'I 4 m m'
_symmetry_Int_Tables_number 107
_symmetry_space_group_name_Hall 'I 4 -2'
loop_
_atom_site_label
_atom_site_type_symbol
_atom_site_fract_x
_atom_site_fract_y
_atom_site_fract_z
_atom_site_occupancy
Hf1 Hf 0.0000 0.0000 0.0000 1
Cd1 Cd 0.0000 0.0000 0.3288 1
Hg1 Hg 0.0000 0.0000 0.6652 1
```

Calculated values
The energy of formation from the pure elements comes out at 0.0568 eV per atom.



(2)
Computed, not measured: crystalline Hf2CdHg2 at its relaxed geometry at the PBE level of DFT.

```
data_Hf2CdHg2
_chemical_formula_sum 'Hf4 Cd2 Hg4'
_cell_length_a 4.2145
_cell_length_b 4.2145
_cell_length_c 13.4633
_cell_angle_alpha 90.00
_cell_angle_beta 90.00
_cell_angle_gamma 90.00
_symmetry_space_group_name_H-M 'I 4/m m m'
_symmetry_Int_Tables_number 139
_symmetry_space_group_name_Hall '-I 4 2'
loop_
_atom_site_label
_atom_site_type_symbol
_atom_site_fract_x
_atom_site_fract_y
_atom_site_fract_z
_atom_site_occupancy
Hf1 Hf 0.0000 0.0000 0.1001 1
Cd1 Cd 0.0000 0.0000 0.5000 1
Hg1 Hg 0.0000 0.5000 0.2500 1
```

Calculated values
The energy of formation from the pure elements comes out at 0.4702 eV per atom.